Material: MoPd3Au
Method: DFT, PBE
State: relaxed Values from VASP.

## Properties
V, Å³/atom: 16.1
Final energy, hartree per atom: -0.218
Space-group type: C2/m (12)
Total magnetic moment, μB/cell: 0.000

Quantum ESPRESSO input file:
```
&SYSTEM
  ibrav = 0, nat = 10, ntyp = 3
/
ATOMIC_SPECIES
Mo 95.94 Mo.upf
Pd 106.42 Pd.upf
Au 196.97 Au.upf
ATOMIC_POSITIONS crystal
Mo 0.2492 0.2492 0.1846
Mo 0.7508 0.7508 0.8154
Pd 0.0622 0.0622 0.2010
Pd 0.1565 0.1565 0.6864
Pd 0.3421 0.3421 0.6871
Pd 0.6579 0.6579 0.3129
Pd 0.8435 0.8435 0.3136
Pd 0.9378 0.9378 0.7990
Au 0.4491 0.4491 0.2310
Au 0.5509 0.5509 0.7690
CELL_PARAMETERS angstrom
7.2845 -2.2798 0.0000
7.2845 2.2798 0.0000
-0.0380 0.0000 4.8592
```